# 1
# PBE Ti2Al5FeIr2, relaxed
data_Ti2Al5FeIr2
_space_group_name_H-M_alt 'P 1'
_space_group_IT_number 1
_space_group_name_Hall 'P 1'
_cell_length_a 8.8428
_cell_length_b 8.8428
_cell_length_c 4.0170
_cell_angle_alpha 90.00
_cell_angle_beta 90.00
_cell_angle_gamma 90.00
loop_
_atom_site_label
_atom_site_fract_x
_atom_site_fract_y
_atom_site_fract_z
Ti1 0.1744 0.3256 0.0000
Ti2 0.3256 0.8256 0.0000
Ti3 0.6744 0.1744 0.0000
Ti4 0.8256 0.6744 0.0000
Al1 0.0000 0.5000 0.5000
Al2 0.0701 0.7994 0.5000
Al3 0.2006 0.0701 0.5000
Al4 0.2994 0.5701 0.5000
Al5 0.4299 0.2994 0.5000
Al6 0.5000 0.0000 0.5000
Al7 0.5701 0.7006 0.5000
Al8 0.7006 0.4299 0.5000
Al9 0.7994 0.9299 0.5000
Al10 0.9299 0.2006 0.5000
Fe1 0.0000 0.0000 0.0000
Fe2 0.5000 0.5000 0.0000
Ir1 0.1222 0.6222 0.0000
Ir2 0.3778 0.1222 0.0000
Ir3 0.6222 0.8778 0.0000
Ir4 0.8778 0.3778 0.0000
# - DOS at the Fermi energy (states/eV per cell) = 10.75
# - ΔH_f (0 K) (eV per atom) = -0.525

---

# 2
# PBE AlFeIrW, relaxed
data_AlFeIrW
_space_group_name_H-M_alt 'P 1'
_space_group_IT_number 1
_space_group_name_Hall 'P 1'
_cell_length_a 4.3043
_cell_length_b 4.3043
_cell_length_c 4.3043
_cell_angle_alpha 60.00
_cell_angle_beta 60.00
_cell_angle_gamma 60.00
loop_
_atom_site_label
_atom_site_fract_x
_atom_site_fract_y
_atom_site_fract_z
Al1 0.0000 0.0000 0.0000
Fe1 0.2500 0.2500 0.2500
Ir1 0.7500 0.7500 0.7500
W1 0.5000 0.5000 0.5000
# - DOS at the Fermi energy (states/eV per cell) = 2.92
# - ΔH_f (0 K) (eV per atom) = -0.244

---

# 3
# PBE AlZnFeIr, relaxed
data_AlZnFeIr
_space_group_name_H-M_alt 'P 1'
_space_group_IT_number 1
_space_group_name_Hall 'P 1'
_cell_length_a 4.2077
_cell_length_b 4.2077
_cell_length_c 4.2077
_cell_angle_alpha 60.00
_cell_angle_beta 60.00
_cell_angle_gamma 60.00
loop_
_atom_site_label
_atom_site_fract_x
_atom_site_fract_y
_atom_site_fract_z
Al1 0.0000 0.0000 0.0000
Zn1 0.5000 0.5000 0.5000
Fe1 0.7500 0.7500 0.7500
Ir1 0.2500 0.2500 0.2500
# - DOS at the Fermi energy (states/eV per cell) = 6.07
# - ΔH_f (0 K) (eV per atom) = -0.304

---

# 4
# PBE KAl2Fe, relaxed
data_KAl2Fe
_space_group_name_H-M_alt 'P 1'
_space_group_IT_number 1
_space_group_name_Hall 'P 1'
_cell_length_a 6.3252
_cell_length_b 6.3252
_cell_length_c 6.3252
_cell_angle_alpha 155.00
_cell_angle_beta 125.88
_cell_angle_gamma 60.50
loop_
_atom_site_label
_atom_site_fract_x
_atom_site_fract_y
_atom_site_fract_z
K1 0.0000 0.0000 0.0000
Al1 0.3091 0.8091 0.5000
Al2 0.6909 0.1909 0.5000
Fe1 0.5000 0.5000 0.0000
# - DOS at the Fermi energy (states/eV per cell) = 4.64
# - ΔH_f (0 K) (eV per atom) = 0.502
# - relative energy among the computed polymorphs (eV per atom) = 0.360

---

# 5
# PBE KAl3Fe, relaxed
data_KAl3Fe
_space_group_name_H-M_alt 'P 1'
_space_group_IT_number 1
_space_group_name_Hall 'P 1'
_cell_length_a 5.4394
_cell_length_b 5.4394
_cell_length_c 5.4394
_cell_angle_alpha 90.00
_cell_angle_beta 90.00
_cell_angle_gamma 90.00
loop_
_atom_site_label
_atom_site_fract_x
_atom_site_fract_y
_atom_site_fract_z
K1 0.0000 0.0000 0.0000
Al1 0.0000 0.0000 0.5000
Al2 0.0000 0.5000 0.0000
Al3 0.5000 0.0000 0.0000
Fe1 0.5000 0.5000 0.5000
# - DOS at the Fermi energy (states/eV per cell) = 7.85
# - ΔH_f (0 K) (eV per atom) = 2.381
# - relative energy among the computed polymorphs (eV per atom) = 2.433

---

# 6
# PBE KAl3Fe, relaxed
data_KAl3Fe
_space_group_name_H-M_alt 'P 1'
_space_group_IT_number 1
_space_group_name_Hall 'P 1'
_cell_length_a 4.6648
_cell_length_b 4.6648
_cell_length_c 4.6648
_cell_angle_alpha 90.00
_cell_angle_beta 90.00
_cell_angle_gamma 90.00
loop_
_atom_site_label
_atom_site_fract_x
_atom_site_fract_y
_atom_site_fract_z
K1 0.0000 0.0000 0.0000
Al1 0.0000 0.5000 0.5000
Al2 0.5000 0.0000 0.5000
Al3 0.5000 0.5000 0.0000
Fe1 0.5000 0.5000 0.5000
# - DOS at the Fermi energy (states/eV per cell) = 0.00
# - ΔH_f (0 K) (eV per atom) = -0.052
# - relative energy among the computed polymorphs (eV per atom) = 0.000

---

# 7
# PBE KAl2Fe, relaxed
data_KAl2Fe
_space_group_name_H-M_alt 'P 1'
_space_group_IT_number 1
_space_group_name_Hall 'P 1'
_cell_length_a 4.8121
_cell_length_b 4.8121
_cell_length_c 4.8121
_cell_angle_alpha 60.00
_cell_angle_beta 60.00
_cell_angle_gamma 60.00
loop_
_atom_site_label
_atom_site_fract_x
_atom_site_fract_y
_atom_site_fract_z
K1 0.0000 0.0000 0.0000
Al1 0.2500 0.2500 0.2500
Al2 0.7500 0.7500 0.7500
Fe1 0.5000 0.5000 0.5000
# - DOS at the Fermi energy (states/eV per cell) = 4.93
# - ΔH_f (0 K) (eV per atom) = 0.734
# - relative energy among the computed polymorphs (eV per atom) = 0.592

---

# 8
# PBE KAl2Fe, relaxed
data_KAl2Fe
_space_group_name_H-M_alt 'P 1'
_space_group_IT_number 1
_space_group_name_Hall 'P 1'
_cell_length_a 9.9020
_cell_length_b 9.9020
_cell_length_c 9.9020
_cell_angle_alpha 17.36
_cell_angle_beta 17.36
_cell_angle_gamma 17.36
loop_
_atom_site_label
_atom_site_fract_x
_atom_site_fract_y
_atom_site_fract_z
K1 0.0000 0.0000 0.0000
Al1 0.2281 0.2281 0.2281
Al2 0.7719 0.7719 0.7719
Fe1 0.5000 0.5000 0.5000
# - DOS at the Fermi energy (states/eV per cell) = 1.61
# - ΔH_f (0 K) (eV per atom) = 0.365
# - relative energy among the computed polymorphs (eV per atom) = 0.223

---

# 9
# PBE KAlFe2, relaxed
data_KAlFe2
_space_group_name_H-M_alt 'P 1'
_space_group_IT_number 1
_space_group_name_Hall 'P 1'
_cell_length_a 5.9827
_cell_length_b 5.9827
_cell_length_c 5.9827
_cell_angle_alpha 154.09
_cell_angle_beta 125.53
_cell_angle_gamma 61.27
loop_
_atom_site_label
_atom_site_fract_x
_atom_site_fract_y
_atom_site_fract_z
K1 0.0000 0.0000 0.0000
Al1 0.5000 0.5000 0.0000
Fe1 0.2897 0.7897 0.5000
Fe2 0.7103 0.2103 0.5000
# - DOS at the Fermi energy (states/eV per cell) = 3.83
# - ΔH_f (0 K) (eV per atom) = 0.836

---

# 10
# PBE KAlFe2, relaxed
data_KAlFe2
_space_group_name_H-M_alt 'P 1'
_space_group_IT_number 1
_space_group_name_Hall 'P 1'
_cell_length_a 5.4406
_cell_length_b 5.4406
_cell_length_c 2.6789
_cell_angle_alpha 99.25
_cell_angle_beta 99.25
_cell_angle_gamma 112.47
loop_
_atom_site_label
_atom_site_fract_x
_atom_site_fract_y
_atom_site_fract_z
K1 0.0000 0.0000 0.0000
Al1 0.5000 0.5000 0.0000
Fe1 0.0000 0.5000 0.5000
Fe2 0.5000 0.0000 0.5000
# - DOS at the Fermi energy (states/eV per cell) = 4.45
# - ΔH_f (0 K) (eV per atom) = 1.003

---

# 11
# PBE KAl2Fe, relaxed
data_KAl2Fe
_space_group_name_H-M_alt 'P 1'
_space_group_IT_number 1
_space_group_name_Hall 'P 1'
_cell_length_a 10.2643
_cell_length_b 10.2643
_cell_length_c 10.2643
_cell_angle_alpha 16.37
_cell_angle_beta 16.37
_cell_angle_gamma 16.37
loop_
_atom_site_label
_atom_site_fract_x
_atom_site_fract_y
_atom_site_fract_z
K1 0.0000 0.0000 0.0000
Al1 0.5087 0.5087 0.5087
Al2 0.7669 0.7669 0.7669
Fe1 0.2388 0.2388 0.2388
# - DOS at the Fermi energy (states/eV per cell) = 2.51
# - ΔH_f (0 K) (eV per atom) = 0.508
# - relative energy among the computed polymorphs (eV per atom) = 0.366

---

# 12
# PBE KAlFe2, relaxed
data_KAlFe2
_space_group_name_H-M_alt 'P 1'
_space_group_IT_number 1
_space_group_name_Hall 'P 1'
_cell_length_a 2.7857
_cell_length_b 2.7857
_cell_length_c 9.0412
_cell_angle_alpha 90.00
_cell_angle_beta 90.00
_cell_angle_gamma 90.00
loop_
_atom_site_label
_atom_site_fract_x
_atom_site_fract_y
_atom_site_fract_z
K1 0.0000 0.0000 0.0000
Al1 0.0000 0.0000 0.5000
Fe1 0.5000 0.5000 0.3187
Fe2 0.5000 0.5000 0.6813
# - DOS at the Fermi energy (states/eV per cell) = 3.70
# - ΔH_f (0 K) (eV per atom) = 0.553